# Tl2NiIr

A relaxed Tl2NiIr crystal (PBE-GGA, the Alexandria database).

Computed properties:
**ΔH_f (0 K)**: 0.442 eV per atom
**Energy relative to the lowest polymorph listed for this composition**: 86 meV/atom

a b c (Å): 11.2199 3.0182 4.6715
angles (deg): 90.00 106.56 90.00
Space group Cm (No. 8)
Inequivalent atoms, fractional coordinates:
Tl1 0.0000 0.0000 0.0000 x2
Tl2 0.2112 0.0000 0.6421 x2
Ni1 0.4485 0.0000 0.4749 x2
Ir1 0.2712 0.5000 0.1841 x2

---

# TlNiIr2

A relaxed TlNiIr2 crystal (PBE-GGA, the Alexandria database).

Computed properties:
**ΔH_f (0 K)**: 0.458 eV per atom
**Energy relative to the lowest polymorph listed for this composition**: 102 meV/atom

a b c (Å): 3.9973 3.9973 7.8356
angles (deg): 90.00 90.00 90.00
Space group I4/mmm (No. 139)
Inequivalent atoms, fractional coordinates:
Tl1 0.0000 0.0000 0.0000 x2
Ni1 0.0000 0.0000 0.5000 x2
Ir1 0.0000 0.5000 0.2500 x4

---

# TlNiIr2

A relaxed TlNiIr2 crystal (PBE-GGA, the Alexandria database).

Computed properties:
**ΔH_f (0 K)**: 0.534 eV per atom
**Energy relative to the lowest polymorph listed for this composition**: 178 meV/atom

a b c (Å): 2.9137 4.6755 9.2315
angles (deg): 90.00 90.00 90.00
Space group Imm2 (No. 44)
Inequivalent atoms, fractional coordinates:
Tl1 0.0000 0.0000 0.0000 x2
Ni1 0.0000 0.5000 0.2513 x2
Ir1 0.0000 0.0000 0.5211 x2
Ir2 0.0000 0.5000 0.7714 x2

---

# Tl2NiIr

A relaxed Tl2NiIr crystal (PBE-GGA, the Alexandria database).

Computed properties:
**ΔH_f (0 K)**: 0.368 eV per atom
**Energy relative to the lowest polymorph listed for this composition**: 13 meV/atom

a b c (Å): 3.2613 3.2613 7.6859
angles (deg): 90.00 90.00 90.00
Space group P4mm (No. 99)
Inequivalent atoms, fractional coordinates:
Tl1 0.0000 0.0000 0.0000 x1
Tl2 0.5000 0.5000 0.3559 x1
Ni1 0.5000 0.5000 0.7429 x1
Ir1 0.0000 0.0000 0.6193 x1

---

# TlNiIr2

A relaxed TlNiIr2 crystal (PBE-GGA, the Alexandria database).

Computed properties:
**ΔH_f (0 K)**: 0.523 eV per atom
**Energy relative to the lowest polymorph listed for this composition**: 167 meV/atom

a b c (Å): 5.6668 7.5197 2.9474
angles (deg): 90.00 90.00 90.00
Space group Cmmm (No. 65)
Inequivalent atoms, fractional coordinates:
Tl1 0.0000 0.0000 0.0000 x2
Ni1 0.0000 0.5000 0.0000 x2
Ir1 0.2500 0.2500 0.5000 x4

---

# TlNi2Ir2

A relaxed TlNi2Ir2 crystal (PBE-GGA, the Alexandria database).

Computed properties:
**ΔH_f (0 K)**: 0.344 eV per atom

a b c (Å): 7.3027 7.3027 2.8495
angles (deg): 90.00 90.00 90.00
Space group P4/mbm (No. 127)
Inequivalent atoms, fractional coordinates:
Tl1 0.0000 0.0000 0.0000 x2
Ni1 0.1685 0.3315 0.5000 x4
Ir1 0.1274 0.6274 0.0000 x4

---

# Tm8Ni2Ir

A relaxed Tm8Ni2Ir crystal (PBE-GGA, the Alexandria database).

Computed properties:
**ΔH_f (0 K)**: -0.379 eV per atom
**Energy relative to the lowest polymorph listed for this composition**: 0 meV/atom

a b c (Å): 16.8544 4.9324 6.5463
angles (deg): 90.00 106.24 90.00
Space group C2/m (No. 12)
Inequivalent atoms, fractional coordinates:
Tm1 0.0362 0.0000 0.2929 x4
Tm2 0.0919 0.5000 0.9458 x4
Tm3 0.1701 0.5000 0.4770 x4
Tm4 0.2021 0.0000 0.8247 x4
Ni1 0.1876 0.0000 0.2163 x4
Ir1 0.0000 0.5000 0.5000 x2

---

# Tm2Ni15Ir2

A relaxed Tm2Ni15Ir2 crystal (PBE-GGA, the Alexandria database).

Computed properties:
**ΔH_f (0 K)**: -0.205 eV per atom

a b c (Å): 8.3124 8.3124 12.2504
angles (deg): 90.00 90.00 120.00
Space group R-3m (No. 166, hexagonal axes)
Inequivalent atoms, fractional coordinates:
Tm1 0.0000 0.0000 0.1571 x6
Ni1 0.0000 0.2985 0.5000 x18
Ni2 0.0000 0.5000 0.0000 x9
Ni3 0.0030 0.5015 0.6546 x18
Ir1 0.0000 0.0000 0.3972 x6

---

# Tm2Ni2Ir

A relaxed Tm2Ni2Ir crystal (PBE-GGA, the Alexandria database).

Computed properties:
**ΔH_f (0 K)**: -0.553 eV per atom

a b c (Å): 6.6949 6.6949 3.8850
angles (deg): 90.00 90.00 90.00
Space group P4/mbm (No. 127)
Inequivalent atoms, fractional coordinates:
Tm1 0.1846 0.3154 0.0000 x4
Ni1 0.1229 0.6229 0.5000 x4
Ir1 0.0000 0.0000 0.5000 x2

---

# Tm6NiIr2

A relaxed Tm6NiIr2 crystal (PBE-GGA, the Alexandria database).

Computed properties:
**ΔH_f (0 K)**: -0.593 eV per atom

a b c (Å): 6.4484 7.2709 11.1032
angles (deg): 90.00 123.07 90.00
Space group P2_1/c (No. 14)
Inequivalent atoms, fractional coordinates:
Tm1 0.0918 0.0439 0.2436 x4
Tm2 0.2310 0.6753 0.0711 x4
Tm3 0.3927 0.1743 0.0633 x4
Ni1 0.5000 0.0000 0.5000 x2
Ir1 0.3061 0.1187 0.7620 x4

---

# Tm6NiIr5

A relaxed Tm6NiIr5 crystal (PBE-GGA, the Alexandria database).

Computed properties:
**ΔH_f (0 K)**: -0.855 eV per atom

a b c (Å): 4.6995 6.9609 7.4301
angles (deg): 90.00 108.29 90.00
Space group P2/m (No. 10)
Inequivalent atoms, fractional coordinates:
Tm1 0.0000 0.2498 0.0000 x2
Tm2 0.3331 0.2493 0.6657 x4
Ni1 0.5000 0.0000 0.0000 x1
Ir1 0.1641 0.0000 0.3292 x2
Ir2 0.1669 0.5000 0.3344 x2
Ir3 0.5000 0.5000 0.0000 x1

---

# Tm3NiIr

A relaxed Tm3NiIr crystal (PBE-GGA, the Alexandria database).

Computed properties:
**ΔH_f (0 K)**: -0.581 eV per atom
**Energy relative to the lowest polymorph listed for this composition**: 0 meV/atom

a b c (Å): 4.1765 8.6425 6.0767
angles (deg): 90.00 90.00 90.00
Space group Pmmn (No. 59, origin choice 2)
Inequivalent atoms, fractional coordinates:
Tm1 0.2500 0.0533 0.2353 x4
Tm2 0.2500 0.2500 0.7301 x2
Ni1 0.2500 0.7500 0.5534 x2
Ir1 0.2500 0.7500 0.9688 x2

---

Number 1: raw total energy -4.402 eV per atom. Number 2: raw total energy -6.009 eV per atom. Number 3: raw total energy -5.933 eV per atom. Number 4: raw total energy -4.475 eV per atom. Number 5: raw total energy -5.944 eV per atom. Number 6: raw total energy -5.986 eV per atom. Number 7: raw total energy -5.487 eV per atom. Number 8: raw total energy -6.172 eV per atom. Number 9: raw total energy -6.427 eV per atom. Number 10: raw total energy -6.186 eV per atom. Number 11: raw total energy -7.265 eV per atom. Number 12: raw total energy -6.193 eV per atom.